DFT (PBE) results for a geometry-optimized CrPt2Cl structure.

The calculation puts the offset from the most stable computed form at 50.8 meV/atom. The total magnetization is 1.08 μB/f.u. As for the uncorrected formation energy: 0.032 eV/atom. The value obtained for the final energy is -5.856 eV per atom.

a = 2.8141 Å, b = 2.8602 Å, c = 8.5889 Å
α = 87.48°, β = 90.00°, γ = 90.00°
Fractional positions:
Cr 0.5000 0.5136 0.7718
Cl 0.0000 0.5411 0.5693
Pt 0.0000 0.9883 0.9622
Pt 0.5000 0.4570 0.1967